An optimized crystal structure of TlFeIO2, computed with PBE with a Hubbard U.

## Properties
The value obtained for the energy relative to the lowest polymorph listed for this composition is 0.0 meV per atom.

Cell: 4.1972 4.1972 5.8177 Å, 90.00 90.00 90.00°
Closest atoms and distances in Å follow each position.
Space group P4/mmm (No. 123)
Symmetry-distinct sites (fractional):
Tl1 0.0000 0.0000 0.0000  4 I 2.97
Fe1 0.5000 0.5000 0.5000  4 O 2.10
I1 0.5000 0.5000 0.0000  2 Fe 2.91, 4 Tl 2.97
O1 0.0000 0.5000 0.5000  2 Fe 2.10